(1)
First-principles (GGA-PBE) data for a relaxed UNCl crystal, as listed in Alexandria via LeMat-Bulk.

Lattice parameters (Å, degrees): 3.7475 3.7475 4.6856 90.00 90.00 120.00
With the nearest neighbours (Å) after each atom.
Space group P-6m2 (No. 187)
Asymmetric unit:
U (0.0000, 0.0000, 0.0000)  3 N 2.16
N (0.3333, 0.6667, 0.0000)  3 U 2.16
Cl (0.6667, 0.3333, 0.5000)  6 U 3.19, 6 N 3.19

Computed properties:
uncorrected energy	-8.44	eV/atom
magnetic moment	2.00	μB/f.u.
raw formation energy	-3.86	eV/f.u.
V	19.0	A^3/atom
crystal system	hexagonal


(2)
First-principles (GGA-PBE) data for a relaxed UNCl crystal, as listed in Alexandria via LeMat-Bulk.

Lattice parameters (Å, degrees): 3.7991 3.7991 8.2971 90.00 90.00 90.00
With the nearest neighbours (Å) after each atom.
Space group P4/nmm (No. 129, origin choice 2)
Asymmetric unit:
U (0.2500, 0.2500, 0.1422)  4 N 2.24
N (0.2500, 0.7500, 0.0000)  4 U 2.24
Cl (0.2500, 0.2500, 0.6679)  4 U 3.11, 4 N 3.35

Computed properties:
uncorrected energy	-8.75	eV/atom
magnetic moment	2.00	μB/f.u.
raw formation energy	-4.79	eV/f.u.
V	20.0	A^3/atom
crystal system	tetragonal


(3)
First-principles (GGA-PBE) data for a relaxed UNCl crystal, as listed in Alexandria via LeMat-Bulk.

Lattice parameters (Å, degrees): 3.1986 3.1986 10.2993 90.00 90.00 90.00
With the nearest neighbours (Å) after each atom.
Space group I4mm (No. 107)
Asymmetric unit:
U (0.0000, 0.0000, 0.0000)  4 N 2.31
N (0.0000, 0.0000, 0.5470)  4 U 2.31
Cl (0.0000, 0.0000, 0.2762)  1 N 2.79, 1 U 2.85

Computed properties:
uncorrected energy	-8.30	eV/atom
magnetic moment	1.82	μB/f.u.
raw formation energy	-3.45	eV/f.u.
V	17.6	A^3/atom
crystal system	tetragonal


(4)
First-principles (GGA-PBE) data for a relaxed UNCl crystal, as listed in Alexandria via LeMat-Bulk.

Lattice parameters (Å, degrees): 6.6042 3.8124 10.5674 90.00 92.84 90.00
With the nearest neighbours (Å) after each atom.
Space group C2/m (No. 12)
Asymmetric unit:
U (0.1561, 0.0000, 0.3661)  4 N 2.27-2.29
N (0.1732, 0.0000, 0.5828)  4 U 2.27-2.29
Cl (0.0247, 0.5000, 0.8105)  3 U 2.88

Computed properties:
uncorrected energy	-8.81	eV/atom
magnetic moment	2.01	μB/f.u.
raw formation energy	-4.96	eV/f.u.
V	22.1	A^3/atom
crystal system	monoclinic